# 1
3
Lattice="5.917 -0.004 0.000 4.680 3.620 0.000 -5.298 -1.808 1.914" Properties=species:S:1:pos:R:3 comment="NiOsPt, relaxed, DFT GGA-PBE" volume_a3_per_atom=13.679 de_polymorph_mev_per_atom=81 e_form_kj_per_mol_atoms=8 pbc="T T T"
Ni 10.525 3.592 0.000
Os 3.622 1.236 0.000
Pt 7.046 2.405 0.000

=====

# 2
4
Lattice="4.226 0.000 0.000 2.113 3.660 0.000 2.113 1.220 3.450" Properties=species:S:1:pos:R:3 comment="Ni2OsPt, relaxed, DFT GGA-PBE" volume_a3_per_atom=13.339 e_form_kj_per_mol_atoms=31 pbc="T T T"
Ni 0.000 0.000 0.000
Ni 2.113 1.220 0.863
Os 4.226 2.440 1.725
Pt 6.339 3.660 2.588

=====

# 3
15
Lattice="7.184 0.000 0.000 3.592 6.222 0.000 3.592 2.074 4.557" Properties=species:S:1:pos:R:3 comment="Ni8OsPt6, relaxed, DFT GGA-PBE" volume_a3_per_atom=13.580 e_form_kj_per_mol_atoms=18 pbc="T T T"
Ni 5.954 1.470 1.353
Ni 8.888 1.744 3.204
Ni 4.250 3.874 3.204
Ni 10.776 6.222 3.247
Ni 3.592 2.074 1.311
Ni 10.118 4.422 1.353
Ni 5.480 6.552 1.353
Ni 8.414 6.826 3.204
Os 0.000 0.000 0.000
Pt 6.473 2.676 3.537
Pt 8.103 2.796 1.021
Pt 5.554 4.028 1.021
Pt 8.814 4.268 3.537
Pt 6.265 5.499 3.537
Pt 7.895 5.620 1.021

=====

# 4
4
Lattice="-0.468 -2.865 3.662 3.380 -3.225 -0.092 0.126 4.660 -0.320" Properties=species:S:1:pos:R:3 comment="NiOs2Pt, relaxed, DFT GGA-PBE" volume_a3_per_atom=13.855 de_polymorph_mev_per_atom=73 e_form_kj_per_mol_atoms=12 pbc="T T T"
Ni 2.481 -0.805 0.687
Os 2.912 -6.090 3.570
Os 0.557 -0.624 2.563
Pt 1.456 -3.045 1.785

=====

# 5
5
Lattice="4.480 0.000 0.000 0.000 4.480 0.000 0.000 0.000 4.480" Properties=species:S:1:pos:R:3 comment="NiOsPt3, relaxed, DFT GGA-PBE" volume_a3_per_atom=17.984 de_polymorph_mev_per_atom=0 e_form_kj_per_mol_atoms=149 pbc="T T T"
Ni 0.000 0.000 0.000
Os 2.240 2.240 2.240
Pt 0.000 2.240 0.000
Pt 0.000 0.000 2.240
Pt 2.240 0.000 0.000

=====

# 6
4
Lattice="4.323 0.000 0.000 2.161 3.744 0.000 2.161 1.248 3.530" Properties=species:S:1:pos:R:3 comment="NiOs2Pt, relaxed, DFT GGA-PBE" volume_a3_per_atom=14.280 de_polymorph_mev_per_atom=435 e_form_kj_per_mol_atoms=47 pbc="T T T"
Ni 4.323 2.496 1.765
Os 0.000 0.000 0.000
Os 2.161 1.248 0.882
Pt 6.484 3.744 2.647

=====

# 7
4
Lattice="-1.644 -2.392 3.489 3.065 -2.596 -2.114 1.902 0.973 1.563" Properties=species:S:1:pos:R:3 comment="Ni2OsPt, relaxed, DFT GGA-PBE" volume_a3_per_atom=13.000 e_form_kj_per_mol_atoms=10 pbc="T T T"
Ni 0.000 0.000 0.000
Ni 0.710 -2.494 0.688
Os 0.129 -0.709 2.526
Pt 2.483 -0.811 -0.275

=====

# 8
4
Lattice="-3.734 -0.579 -2.154 0.860 -2.302 -0.873 -1.822 -2.221 3.755" Properties=species:S:1:pos:R:3 comment="Ni2OsPt, relaxed, DFT GGA-PBE" volume_a3_per_atom=13.401 e_form_kj_per_mol_atoms=21 pbc="T T T"
Ni 0.828 -2.326 -0.810
Ni -0.448 -2.237 1.379
Os -2.107 -1.420 -0.356
Pt -2.588 -3.681 1.085

=====

# 9
4
Lattice="2.759 0.000 0.000 0.000 3.837 0.000 0.000 0.000 5.369" Properties=species:S:1:pos:R:3 comment="NiOsPt2, relaxed, DFT GGA-PBE" volume_a3_per_atom=14.210 de_polymorph_mev_per_atom=23 e_form_kj_per_mol_atoms=6 pbc="T T T"
Ni 1.379 1.919 1.342
Os 1.379 1.919 4.027
Pt 0.000 0.000 0.007
Pt 0.000 0.000 2.678

=====

# 10
4
Lattice="0.000 3.045 3.045 3.045 0.000 3.045 3.045 3.045 0.000" Properties=species:S:1:pos:R:3 comment="NiOs2Pt, relaxed, DFT GGA-PBE" volume_a3_per_atom=14.120 de_polymorph_mev_per_atom=489 e_form_kj_per_mol_atoms=52 pbc="T T T"
Ni 0.000 0.000 0.000
Os 1.523 1.523 1.523
Os 4.568 4.568 4.568
Pt 3.045 3.045 3.045

=====

# 11
4
Lattice="2.682 0.000 0.000 0.000 3.756 0.000 0.000 0.000 5.186" Properties=species:S:1:pos:R:3 comment="Ni2OsPt, relaxed, DFT GGA-PBE" volume_a3_per_atom=13.057 e_form_kj_per_mol_atoms=8 pbc="T T T"
Ni 0.000 0.000 0.049
Ni 1.341 1.878 1.303
Os 0.000 0.000 2.520
Pt 1.341 1.878 3.907

=====

# 12
4
Lattice="4.128 0.000 0.000 0.000 2.699 0.002 0.000 1.735 5.046" Properties=species:S:1:pos:R:3 comment="NiOs2Pt, relaxed, DFT GGA-PBE" volume_a3_per_atom=14.054 de_polymorph_mev_per_atom=258 e_form_kj_per_mol_atoms=30 pbc="T T T"
Ni 2.064 3.326 3.786
Os 0.000 4.100 4.954
Os 0.000 2.551 2.619
Pt 2.064 1.109 1.262

=====

Number 1: magnetization 0.00 Bohr magnetons per cell, D(E_F) 3.3 states/eV/cell, energy -7.599 eV/atom. Number 2: magnetization 0.61 Bohr magnetons per cell, D(E_F) 5.8 states/eV/cell, energy -6.884 eV/atom. Number 3: magnetization 5.60 Bohr magnetons per cell, D(E_F) 27.7 states/eV/cell, energy -6.066 eV/atom. Number 4: magnetization 0.00 Bohr magnetons per cell, D(E_F) 5.0 states/eV/cell, energy -8.449 eV/atom. Number 5: magnetization 3.37 Bohr magnetons per cell, D(E_F) 9.9 states/eV/cell, energy -5.482 eV/atom. Number 6: magnetization 1.77 Bohr magnetons per cell, D(E_F) 5.5 states/eV/cell, energy -8.086 eV/atom. Number 7: magnetization 0.00 Bohr magnetons per cell, D(E_F) 6.0 states/eV/cell, energy -7.101 eV/atom. Number 8: magnetization 0.00 Bohr magnetons per cell, D(E_F) 5.5 states/eV/cell, energy -6.989 eV/atom. Number 9: magnetization 0.00 Bohr magnetons per cell, D(E_F) 5.8 states/eV/cell, energy -7.214 eV/atom. Number 10: magnetization 0.00 Bohr magnetons per cell, D(E_F) 6.0 states/eV/cell, energy -8.032 eV/atom. Number 11: magnetization 0.00 Bohr magnetons per cell, D(E_F) 6.3 states/eV/cell, energy -7.126 eV/atom. Number 12: magnetization 0.00 Bohr magnetons per cell, D(E_F) 5.0 states/eV/cell, energy -8.264 eV/atom.